Tc2SbI2: optimized geometry, PBE-GGA.

Space group = I4/mmm
Energy above the most stable polymorph in this dataset = 2.2 kJ/mol of formula units
Electronic total energy = -23.26 eV for the cell shown
E_form (uncorrected) = 0.94 eV per atom

POSCAR file:
```
Tc2SbI2
1.0
-2.328 2.328 5.560
2.328 -2.328 5.560
2.328 2.328 -5.560
Tc Sb I
2 1 2
Cartesian
0.000 0.000 1.124
0.000 0.000 9.996
0.000 0.000 5.560
2.328 0.000 2.780
0.000 2.328 2.780
```

***

ErHf4Rh5: optimized geometry, PBE-GGA.

Space group = P4/mmm
Electronic total energy = -90.11 eV for the cell shown
E_form = -86.58 kJ per mole of atoms

POSCAR file:
```
ErHf4Rh5
1.0
3.282 0.000 0.000
0.000 3.282 0.000
0.000 0.000 16.685
Er Hf Rh
1 4 5
Cartesian
0.000 0.000 0.000
0.000 0.000 3.431
0.000 0.000 6.717
0.000 0.000 9.968
0.000 0.000 13.254
1.641 1.641 1.958
1.641 1.641 5.134
1.641 1.641 8.343
1.641 1.641 11.551
1.641 1.641 14.727
```

***

Among the records above, which one has the highest electronic total energy? Tc2SbI2

***

Which value of electronic total energy does entry 2 give? -90.11 eV for the cell shown

***

What is the electronic total energy in the first record? -23.26 eV for the cell shown

***

electronic total energy of number 1 (Tc2SbI2)? -23.26 eV for the cell shown